Material: NbCrCdO6
Method: DFT, PBE+U
State: optimized geometry

Lattice parameters (Å, degrees): 4.791 4.791 9.492 90.00 90.00 90.00
Element x y z (fractional)
Nb (0.500, 0.500, 0.836)
Nb (0.000, 0.000, 0.336)
Cr (0.500, 0.500, 0.161)
Cr (0.000, 0.000, 0.661)
Cd (0.500, 0.500, 0.496)
Cd (0.000, 0.000, 0.996)
O (0.177, 0.823, 0.506)
O (0.823, 0.177, 0.506)
O (0.323, 0.323, 0.006)
O (0.677, 0.677, 0.006)
O (0.235, 0.765, 0.190)
O (0.765, 0.235, 0.190)
O (0.265, 0.265, 0.690)
O (0.735, 0.735, 0.690)
O (0.784, 0.216, 0.807)
O (0.216, 0.784, 0.807)
O (0.716, 0.716, 0.307)
O (0.284, 0.284, 0.307)

Values from the calculation:
- E (eV/cell) = -126.05
- space-group type = P4_2nm, No. 102
- total moment (μB/f.u.) = 1.0